# CoCuN2O | Alexandria via LeMat-Bulk | SCAN | PBEsol geometry
# Spin magnetization (μB per formula unit): 5.1
# Crystal system: tetragonal
# Volume (Å³/cell): 49.8
data_CoCuN2O
_space_group_name_H-M_alt 'P 4/m m m'
_space_group_IT_number 123
_space_group_name_Hall '-P 4 2'
_cell_length_a 3.6478
_cell_length_b 3.6478
_cell_length_c 3.7389
_cell_angle_alpha 90.00
_cell_angle_beta 90.00
_cell_angle_gamma 90.00
loop_
_atom_site_label
_atom_site_fract_x
_atom_site_fract_y
_atom_site_fract_z
Co1 0.0000 0.0000 0.0000
Cu1 0.5000 0.5000 0.5000
N1 0.0000 0.5000 0.5000
O1 0.5000 0.5000 0.0000

# CoCu2PN | Alexandria via LeMat-Bulk | SCAN | PBEsol geometry
# Spin magnetization (μB per formula unit): 1.3
# Crystal system: tetragonal
# Volume (Å³/cell): 56.1
data_CoCu2PN
_space_group_name_H-M_alt 'P 4/m m m'
_space_group_IT_number 123
_space_group_name_Hall '-P 4 2'
_cell_length_a 3.6210
_cell_length_b 3.6210
_cell_length_c 4.2812
_cell_angle_alpha 90.00
_cell_angle_beta 90.00
_cell_angle_gamma 90.00
loop_
_atom_site_label
_atom_site_fract_x
_atom_site_fract_y
_atom_site_fract_z
Co1 0.0000 0.0000 0.0000
Cu1 0.0000 0.5000 0.5000
P1 0.5000 0.5000 0.0000
N1 0.5000 0.5000 0.5000

# CoCuSeN2 | Alexandria via LeMat-Bulk | SCAN | PBEsol geometry
# Spin magnetization (μB per formula unit): 0.0
# Crystal system: tetragonal
# Volume (Å³/cell): 63.5
data_CoCuSeN2
_space_group_name_H-M_alt 'P 4/m m m'
_space_group_IT_number 123
_space_group_name_Hall '-P 4 2'
_cell_length_a 3.4936
_cell_length_b 3.4936
_cell_length_c 5.2039
_cell_angle_alpha 90.00
_cell_angle_beta 90.00
_cell_angle_gamma 90.00
loop_
_atom_site_label
_atom_site_fract_x
_atom_site_fract_y
_atom_site_fract_z
Co1 0.0000 0.0000 0.0000
Cu1 0.5000 0.5000 0.5000
Se1 0.0000 0.0000 0.5000
N1 0.0000 0.5000 0.0000

Total energy: -10.1527, -12.9275, -13.2421 (eV per atom)